CaTi2AgRh after structural relaxation. Source: Alexandria via LeMat-Bulk, functional GGA-PBE.

Unit cell a=4.7217 b=5.4935 c=4.7217 alpha=90.00 beta=90.00 gamma=90.00
Site moments in Bohr magnetons follow the coordinates.
Fractional positions:
Ca 0.0000 0.5000 0.0000  0.03
Rh 0.0000 0.0000 0.0000  -0.07
Ag 0.5000 0.5000 0.5000  0.01
Ti 0.0000 0.0000 0.5000  0.46
Ti 0.5000 0.0000 0.0000  0.80

As for the crystal system: tetragonal. As for the symmetry: P4/mmm (123). Its electronic total energy is -26.6 eV for the cell shown. The formation energy from the elements is 0.28 eV/atom.